Record 1
A geometry-optimized TlCoRh2Cl structure. Source: Alexandria, functional PBE-GGA.

Properties
E, eV per formula unit: -18.1
Size of the total moment, μB/cell: 3.6
Space group: P4/mmm (123)

abc: 5.0960 5.0960 4.8988
angles: 90.00 90.00 90.00
Last column: nearest neighbours and their distance in Å.
Sites, in units of the cell vectors:
Tl1 0.0000 0.0000 0.0000  2 Co 2.45, 4 Rh 2.55
Co1 0.0000 0.0000 0.5000  2 Tl 2.45
Rh1 0.0000 0.5000 0.0000  2 Tl 2.55
Rh2 0.5000 0.0000 0.0000  2 Tl 2.55
Cl1 0.5000 0.5000 0.5000  8 Rh 3.53, 4 Co 3.60

=====

Record 2
A geometry-optimized RbCd2Hg2 structure. Source: Alexandria, functional PBE-GGA.

Properties
Excess energy over the best structure of this formula in the dataset, meV per atom: 65
E, eV per formula unit: -3.8
Energy of formation, eV per atom: -0.076
Size of the total moment, μB/cell: 0.0
Space group: P4/mbm (127)

abc: 9.1069 9.1069 3.6061
angles: 90.00 90.00 90.00
Last column: nearest neighbours and their distance in Å.
Sites, in units of the cell vectors:
Rb1 0.0000 0.0000 0.0000  2 Rb 3.61, 4 Cd 3.65, 8 Hg 3.81
Rb2 0.5000 0.5000 0.0000  2 Rb 3.61, 4 Cd 3.65, 8 Hg 3.81
Cd1 0.1168 0.3832 0.0000  1 Cd 3.01, 6 Hg 3.21-3.27
Cd2 0.3832 0.8832 0.0000  1 Cd 3.01, 6 Hg 3.21-3.27
Cd3 0.6168 0.1168 0.0000  1 Cd 3.01, 6 Hg 3.21-3.27
Cd4 0.8832 0.6168 0.0000  1 Cd 3.01, 6 Hg 3.21-3.27
Hg1 0.1770 0.6770 0.5000  6 Cd 3.21-3.27
Hg2 0.3230 0.1770 0.5000  6 Cd 3.21-3.27
Hg3 0.6770 0.8230 0.5000  6 Cd 3.21-3.27
Hg4 0.8230 0.3230 0.5000  6 Cd 3.21-3.27

=====

Record 3
A geometry-optimized La2Ir2Rh structure. Source: Alexandria, functional PBE-GGA.

Properties
Excess energy over the best structure of this formula in the dataset, meV per atom: 0
E, eV per formula unit: -37.4
Energy of formation, eV per atom: -0.503
Size of the total moment, μB/cell: 0.0
Space group: P4/mbm (127)

abc: 7.1977 7.1977 4.2634
angles: 90.00 90.00 90.00
Last column: nearest neighbours and their distance in Å.
Sites, in units of the cell vectors:
La1 0.1837 0.3163 0.0000  6 Ir 2.86-3.12
La2 0.3163 0.8163 0.0000  6 Ir 2.86-3.12
La3 0.6837 0.1837 0.0000  6 Ir 2.86-3.12
La4 0.8163 0.6837 0.0000  6 Ir 2.86-3.12
Ir1 0.1287 0.6287 0.5000  1 Ir 2.62, 2 Rh 2.83, 2 La 2.86
Ir2 0.3713 0.1287 0.5000  1 Ir 2.62, 2 Rh 2.83, 2 La 2.86
Ir3 0.6287 0.8713 0.5000  1 Ir 2.62, 2 Rh 2.83, 2 La 2.86
Ir4 0.8713 0.3713 0.5000  1 Ir 2.62, 2 Rh 2.83, 2 La 2.86
Rh1 0.0000 0.0000 0.5000  4 Ir 2.83
Rh2 0.5000 0.5000 0.5000  4 Ir 2.83

=====

Record 4
A geometry-optimized Na6Bi2As structure. Source: Alexandria, functional PBE-GGA.

Properties
E, eV per formula unit: -23.4
Energy of formation, eV per atom: -0.343
Size of the total moment, μB/cell: 0.0
Space group: P-62m (189)

abc: 8.9110 8.9110 3.6418
angles: 90.00 90.00 120.00
Last column: nearest neighbours and their distance in Å.
Sites, in units of the cell vectors:
Na1 0.0000 0.2661 0.0000  2 As 2.99, 2 Bi 3.31
Na2 0.0000 0.6319 0.5000  1 As 3.28, 4 Bi 3.36, 6 Na 3.45-3.64
Na3 0.2661 0.0000 0.0000  2 As 2.99, 2 Bi 3.31
Na4 0.3681 0.3681 0.5000  1 As 3.28, 4 Bi 3.36, 6 Na 3.45-3.64
Na5 0.6319 0.0000 0.5000  1 As 3.28, 4 Bi 3.36, 6 Na 3.45-3.64
Na6 0.7339 0.7339 0.0000  2 As 2.99, 2 Bi 3.31
Bi1 0.3333 0.6667 0.0000  9 Na 3.31-3.36, 2 Bi 3.64
Bi2 0.6667 0.3333 0.0000  9 Na 3.31-3.36, 2 Bi 3.64
As1 0.0000 0.0000 0.5000  9 Na 2.99-3.28

=====

Record 5
A geometry-optimized TiReSe2N structure. Source: Alexandria, functional PBE-GGA.

Properties
Excess energy over the best structure of this formula in the dataset, meV per atom: 0
E, eV per formula unit: -34.4
Size of the total moment, μB/cell: 1.4
Space group: P4/mmm (123)

abc: 5.0794 5.0794 3.7145
angles: 90.00 90.00 90.00
Last column: nearest neighbours and their distance in Å.
Sites, in units of the cell vectors:
Ti1 0.0000 0.0000 0.0000  8 Se 3.15
Re1 0.5000 0.5000 0.5000  2 N 1.86
Se1 0.0000 0.5000 0.5000  2 Re 2.54
Se2 0.5000 0.0000 0.5000  2 Re 2.54
N1 0.5000 0.5000 0.0000  2 Re 1.86

=====

Record 6
A geometry-optimized Er2AlZn12Ni3 structure. Source: Alexandria, functional PBE-GGA.

Properties
E, eV per formula unit: -46.4
Energy of formation, eV per atom: -0.050
Size of the total moment, μB/cell: 0.0
Space group: R-3m (166)

abc: 6.6439 6.6439 6.6439
angles: 84.34 84.34 84.34
Last column: nearest neighbours and their distance in Å.
Sites, in units of the cell vectors:
Er1 0.2464 0.2464 0.2464  3 Ni 2.76, 6 Zn 2.99-3.06
Er2 0.7536 0.7536 0.7536  3 Ni 2.76, 6 Zn 2.99-3.06
Al1 0.0000 0.0000 0.0000  6 Zn 2.55
Zn1 0.1535 0.5740 0.5740  6 Zn 2.52-2.73
Zn2 0.1985 0.1985 0.7109  5 Zn 2.52-2.67, 1 Al 2.55, 1 Ni 2.55
Zn3 0.1985 0.7109 0.1985  5 Zn 2.52-2.67, 1 Al 2.55, 1 Ni 2.55
Zn4 0.2891 0.8015 0.8015  5 Zn 2.52-2.67, 1 Al 2.55, 1 Ni 2.55
Zn5 0.4260 0.4260 0.8465  6 Zn 2.52-2.73
Zn6 0.4260 0.8465 0.4260  6 Zn 2.52-2.73
Zn7 0.5740 0.1535 0.5740  6 Zn 2.52-2.73
Zn8 0.5740 0.5740 0.1535  6 Zn 2.52-2.73
Zn9 0.7109 0.1985 0.1985  5 Zn 2.52-2.67, 1 Al 2.55, 1 Ni 2.55
Zn10 0.8015 0.2891 0.8015  5 Zn 2.52-2.67, 1 Al 2.55, 1 Ni 2.55
Zn11 0.8015 0.8015 0.2891  5 Zn 2.52-2.67, 1 Al 2.55, 1 Ni 2.55
Zn12 0.8465 0.4260 0.4260  6 Zn 2.52-2.73
Ni1 0.0000 0.0000 0.5000  2 Zn 2.55, 2 Er 2.76
Ni2 0.0000 0.5000 0.0000  2 Zn 2.55, 2 Er 2.76
Ni3 0.5000 0.0000 0.0000  2 Zn 2.55, 2 Er 2.76

=====

size of the total moment of number 3 (La2Ir2Rh)?
0.0 μB/cell

=====

Which of these has the highest size of the total moment?
TlCoRh2Cl

=====

Copy entry 4 word for word.
A geometry-optimized Na6Bi2As structure. Source: Alexandria, functional PBE-GGA.

Properties
E, eV per formula unit: -23.4
Energy of formation, eV per atom: -0.343
Size of the total moment, μB/cell: 0.0
Space group: P-62m (189)

abc: 8.9110 8.9110 3.6418
angles: 90.00 90.00 120.00
Last column: nearest neighbours and their distance in Å.
Sites, in units of the cell vectors:
Na1 0.0000 0.2661 0.0000  2 As 2.99, 2 Bi 3.31
Na2 0.0000 0.6319 0.5000  1 As 3.28, 4 Bi 3.36, 6 Na 3.45-3.64
Na3 0.2661 0.0000 0.0000  2 As 2.99, 2 Bi 3.31
Na4 0.3681 0.3681 0.5000  1 As 3.28, 4 Bi 3.36, 6 Na 3.45-3.64
Na5 0.6319 0.0000 0.5000  1 As 3.28, 4 Bi 3.36, 6 Na 3.45-3.64
Na6 0.7339 0.7339 0.0000  2 As 2.99, 2 Bi 3.31
Bi1 0.3333 0.6667 0.0000  9 Na 3.31-3.36, 2 Bi 3.64
Bi2 0.6667 0.3333 0.0000  9 Na 3.31-3.36, 2 Bi 3.64
As1 0.0000 0.0000 0.5000  9 Na 2.99-3.28

=====

What is the size of the total moment in the first record?
3.6 μB/cell